Computed, not measured: Nd8Dy3Ho after structural relaxation at the PBE level of DFT.

Results
Total energy = -4.598 eV/atom
Fermi-level density of states = 23.6 states/eV/cell
SG = C2/m (12)

a = 6.981 Å, b = 6.981 Å, c = 9.860 Å
α = 97.09°, β = 97.09°, γ = 119.12°
Positions (direct):
1 Nd 0.179 0.681 0.666
2 Nd 0.181 0.181 0.165
3 Nd 0.319 0.319 0.833
4 Nd 0.319 0.821 0.334
5 Nd 0.681 0.179 0.666
6 Nd 0.681 0.681 0.167
7 Nd 0.819 0.819 0.835
8 Nd 0.821 0.319 0.334
9 Dy 0.000 0.500 0.000
10 Dy 0.500 0.000 0.000
11 Dy 0.500 0.500 0.500
12 Ho 0.000 0.000 0.500